No. 1
First-principles (PBE) data for Ga3GePt after structural relaxation, as listed in Alexandria.

Output
Energy relative to the lowest polymorph listed for this composition   1.37 eV per formula unit

Unit cell a=4.828 b=4.828 c=4.828 alpha=90.00 beta=90.00 gamma=90.00
Element x y z (fractional)
Ge 0.500 0.500 0.500
Ga 0.000 0.500 0.000
Ga 0.000 0.000 0.500
Ga 0.500 0.000 0.000
Pt 0.000 0.000 0.000

No. 2
First-principles (PBE) data for Ga3GePt after structural relaxation, as listed in Alexandria.

Output
Energy relative to the lowest polymorph listed for this composition   0.00 eV per formula unit

Unit cell a=4.955 b=4.815 c=8.051 alpha=90.00 beta=88.31 gamma=90.00
Element x y z (fractional)
Ga 0.528 0.250 0.927
Ga 0.472 0.750 0.073
Ga 0.017 0.750 0.324
Ga 0.983 0.250 0.676
Ga 0.615 0.250 0.304
Ga 0.385 0.750 0.696
Ge 0.018 0.250 0.074
Ge 0.982 0.750 0.926
Pt 0.513 0.750 0.384
Pt 0.487 0.250 0.616

No. 3
First-principles (PBE) data for Ga3GePt4 after structural relaxation, as listed in Alexandria.

Unit cell a=5.188 b=6.632 c=8.774 alpha=90.00 beta=90.00 gamma=90.00
Element x y z (fractional)
Ga 0.667 0.830 0.000
Ga 0.968 0.655 0.248
Ga 0.468 0.345 0.252
Ga 0.167 0.170 0.500
Ga 0.468 0.345 0.748
Ga 0.968 0.655 0.752
Ge 0.160 0.158 0.000
Ge 0.660 0.842 0.500
Pt 0.155 0.786 0.000
Pt 0.637 0.211 0.000
Pt 0.980 0.278 0.246
Pt 0.480 0.722 0.254
Pt 0.137 0.789 0.500
Pt 0.655 0.214 0.500
Pt 0.480 0.722 0.746
Pt 0.980 0.278 0.754

Here are the calculated VASP energy numbers, same order: -3.90; -4.17; -5.17 (eV per atom).
Here are the calculated calculated volume numbers, same order: 112.57; 191.97; 301.91 (Å³/cell).
Here are the calculated formation energy from the elements numbers, same order: 49; -225; -434 (meV per atom).